w | # PBE SiH3W, relaxed
# - N(E_F) (states/eV/cell) = 2.75
data_SiH3W
_space_group_name_H-M_alt 'P m -3 m'
_space_group_IT_number 221
_space_group_name_Hall '-P 4 2 3'
_cell_length_a 3.5173
_cell_length_b 3.5173
_cell_length_c 3.5173
_cell_angle_alpha 90.00
_cell_angle_beta 90.00
_cell_angle_gamma 90.00
loop_
_atom_site_label
_atom_site_type_symbol
_atom_site_fract_x
_atom_site_fract_y
_atom_site_fract_z
Si1 Si 0.0000 0.0000 0.0000
H1 H 0.0000 0.5000 0.5000
W1 W 0.5000 0.5000 0.5000

=====

x | # PBE SiH3W, relaxed
# - N(E_F) (states/eV/cell) = 2.06
data_SiH3W
_space_group_name_H-M_alt 'P m -3 m'
_space_group_IT_number 221
_space_group_name_Hall '-P 4 2 3'
_cell_length_a 3.3360
_cell_length_b 3.3360
_cell_length_c 3.3360
_cell_angle_alpha 90.00
_cell_angle_beta 90.00
_cell_angle_gamma 90.00
loop_
_atom_site_label
_atom_site_type_symbol
_atom_site_fract_x
_atom_site_fract_y
_atom_site_fract_z
Si1 Si 0.0000 0.0000 0.0000
H1 H 0.0000 0.0000 0.5000
W1 W 0.5000 0.5000 0.5000

=====

Relative to the most stable one, in eV/atom, the structures come out at w 0.000; x 0.355.

=====

w | # PBE SiHW2, relaxed
# - N(E_F) (states/eV/cell) = 24.18
data_SiHW2
_space_group_name_H-M_alt 'F m -3 m'
_space_group_IT_number 225
_space_group_name_Hall '-F 4 2 3'
_cell_length_a 5.8771
_cell_length_b 5.8771
_cell_length_c 5.8771
_cell_angle_alpha 90.00
_cell_angle_beta 90.00
_cell_angle_gamma 90.00
loop_
_atom_site_label
_atom_site_type_symbol
_atom_site_fract_x
_atom_site_fract_y
_atom_site_fract_z
Si1 Si 0.0000 0.0000 0.0000
H1 H 0.0000 0.0000 0.5000
W1 W 0.2500 0.2500 0.2500

=====

x | # PBE SiHW2, relaxed
# - N(E_F) (states/eV/cell) = 6.42
data_SiHW2
_space_group_name_H-M_alt 'R -3 m'
_space_group_IT_number 166
_space_group_name_Hall '-R 3 2"'
_cell_length_a 3.4519
_cell_length_b 3.4519
_cell_length_c 18.1900
_cell_angle_alpha 90.00
_cell_angle_beta 90.00
_cell_angle_gamma 120.00
loop_
_atom_site_label
_atom_site_type_symbol
_atom_site_fract_x
_atom_site_fract_y
_atom_site_fract_z
Si1 Si 0.0000 0.0000 0.0000
H1 H 0.0000 0.0000 0.5000
W1 W 0.0000 0.0000 0.4034

=====

y | # PBE SiHW2, relaxed
# - N(E_F) (states/eV/cell) = 10.70
data_SiHW2
_space_group_name_H-M_alt 'I -4 2 d'
_space_group_IT_number 122
_space_group_name_Hall 'I -4 2bw'
_cell_length_a 5.9286
_cell_length_b 5.9286
_cell_length_c 5.5753
_cell_angle_alpha 90.00
_cell_angle_beta 90.00
_cell_angle_gamma 90.00
loop_
_atom_site_label
_atom_site_type_symbol
_atom_site_fract_x
_atom_site_fract_y
_atom_site_fract_z
Si1 Si 0.0000 0.0000 0.0000
H1 H 0.0000 0.0000 0.5000
W1 W 0.1602 0.2500 0.6250

=====

Relative to the most stable one, in eV/atom, the structures come out at w 0.418; x 0.586; y 0.000.

=====

w | # PBE SiH2W, relaxed
# - N(E_F) (states/eV/cell) = 14.91
data_SiH2W
_space_group_name_H-M_alt 'F m -3 m'
_space_group_IT_number 225
_space_group_name_Hall '-F 4 2 3'
_cell_length_a 5.2348
_cell_length_b 5.2348
_cell_length_c 5.2348
_cell_angle_alpha 90.00
_cell_angle_beta 90.00
_cell_angle_gamma 90.00
loop_
_atom_site_label
_atom_site_type_symbol
_atom_site_fract_x
_atom_site_fract_y
_atom_site_fract_z
Si1 Si 0.0000 0.0000 0.0000
H1 H 0.2500 0.2500 0.2500
W1 W 0.0000 0.0000 0.5000

=====

x | # PBE SiH2W, relaxed
# - N(E_F) (states/eV/cell) = 4.17
data_SiH2W
_space_group_name_H-M_alt 'I -4 2 d'
_space_group_IT_number 122
_space_group_name_Hall 'I -4 2bw'
_cell_length_a 4.4297
_cell_length_b 4.4297
_cell_length_c 7.6985
_cell_angle_alpha 90.00
_cell_angle_beta 90.00
_cell_angle_gamma 90.00
loop_
_atom_site_label
_atom_site_type_symbol
_atom_site_fract_x
_atom_site_fract_y
_atom_site_fract_z
Si1 Si 0.0000 0.0000 0.0000
H1 H 0.2401 0.2500 0.6250
W1 W 0.0000 0.0000 0.5000

=====

Relative to the most stable one, in eV/atom, the structures come out at w 0.343; x 0.000.